(A)
An optimized crystal structure of MgCuSb2Te. Source: the Alexandria database, functional GGA-PBE.

## Properties
Its theoretical density is 4.95 g/cm³. As for the total magnetization: 0.00 μB/f.u. The volume is 153.97 Å³/cell.

a b c (Å): 5.3332 5.3332 5.4134
angles (deg): 90.00 90.00 90.00
Space group P4/mmm (No. 123)
One atom of each set of equivalent atoms:
Mg  0.0000  0.0000  0.0000 x1
Cu  0.5000  0.5000  0.5000 x1
Sb  0.0000  0.5000  0.0000 x2
Te  0.0000  0.0000  0.5000 x1


(B)
An optimized crystal structure of MgCuSb2Te. Source: the Alexandria database, functional GGA-PBE.

## Properties
Its theoretical density is 5.54 g/cm³. As for the total magnetization: 0.00 μB/f.u. The volume is 137.68 Å³/cell.

a b c (Å): 5.0500 5.0500 5.3987
angles (deg): 90.00 90.00 90.00
Space group P4/mmm (No. 123)
One atom of each set of equivalent atoms:
Mg  0.0000  0.0000  0.0000 x1
Cu  0.5000  0.5000  0.5000 x1
Sb  0.0000  0.5000  0.5000 x2
Te  0.5000  0.5000  0.0000 x1


The energy of each structure relative to the most stable one, in kJ/mol of atoms, is as follows: (A) 43.5; (B) 0.0.


(A)
An optimized crystal structure of Mg2Sc2Cu. Source: the Alexandria database, functional GGA-PBE.

## Properties
Its theoretical density is 3.21 g/cm³. As for the total magnetization: 0.00 μB/f.u. The volume is 209.16 Å³/cell.

a b c (Å): 3.2666 3.2666 19.6013
angles (deg): 90.00 90.00 90.00
Space group I4/mmm (No. 139)
One atom of each set of equivalent atoms:
Mg  0.0000  0.0000  0.1964 x4
Sc  0.0000  0.0000  0.4188 x4
Cu  0.0000  0.0000  0.0000 x2


(B)
An optimized crystal structure of Mg2Sc2Cu. Source: the Alexandria database, functional GGA-PBE.

## Properties
Its theoretical density is 3.11 g/cm³. As for the total magnetization: 0.92 μB/f.u. The volume is 215.78 Å³/cell.

a b c (Å): 6.6129 6.6129 4.9344
angles (deg): 90.00 90.00 90.00
Space group P4/mbm (No. 127)
One atom of each set of equivalent atoms:
Mg  0.1467  0.3533  0.0000 x4
Sc  0.1713  0.6713  0.5000 x4
Cu  0.0000  0.0000  0.0000 x2


The energy of each structure relative to the most stable one, in kJ/mol of atoms, is as follows: (A) 0.0; (B) 24.5.


(A)
An optimized crystal structure of MgSc4Cu. Source: the Alexandria database, functional GGA-PBE.

## Properties
Its theoretical density is 3.20 g/cm³. As for the total magnetization: 0.00 μB/f.u. The volume is 556.33 Å³/cell.

a b c (Å): 8.2245 8.2245 8.2245
angles (deg): 90.00 90.00 90.00
Space group F-43m (No. 216)
One atom of each set of equivalent atoms:
Mg  0.0000  0.0000  0.0000 x4
Sc  0.1251  0.1251  0.6251 x16
Cu  0.2500  0.2500  0.2500 x4


(B)
An optimized crystal structure of MgSc4Cu. Source: the Alexandria database, functional GGA-PBE.

## Properties
Its theoretical density is 3.19 g/cm³. As for the total magnetization: 0.00 μB/f.u. The volume is 278.80 Å³/cell.

a b c (Å): 10.0549 3.2655 9.2769
angles (deg): 90.00 113.75 90.00
Space group C2/m (No. 12)
One atom of each set of equivalent atoms:
Mg  0.0000  0.0000  0.0000 x2
Sc  0.1316  0.0000  0.3657 x4
Sc  0.1604  0.5000  0.8282 x4
Cu  0.0000  0.5000  0.5000 x2


The energy of each structure relative to the most stable one, in kJ/mol of atoms, is as follows: (A) 25.9; (B) 0.0.


(A)
An optimized crystal structure of Mg4CuSe2. Source: the Alexandria database, functional GGA-PBE.

## Properties
Its theoretical density is 2.40 g/cm³. As for the total magnetization: 0.00 μB/f.u. The volume is 440.77 Å³/cell.

a b c (Å): 7.4639 7.4639 7.9117
angles (deg): 90.00 90.00 90.00
Space group I4/mmm (No. 139)
One atom of each set of equivalent atoms:
Mg  0.0000  0.2811  0.0000 x8
Cu  0.0000  0.0000  0.5000 x2
Se  0.0000  0.5000  0.2500 x4


(B)
An optimized crystal structure of Mg4CuSe2. Source: the Alexandria database, functional GGA-PBE.

## Properties
Its theoretical density is 3.17 g/cm³. As for the total magnetization: 0.00 μB/f.u. The volume is 500.68 Å³/cell.

a b c (Å): 4.4999 4.4999 28.5508
angles (deg): 90.00 90.00 120.00
Space group R-3m (No. 166, hexagonal axes)
One atom of each set of equivalent atoms:
Mg  0.0000  0.0000  0.1233 x6
Mg  0.0000  0.0000  0.3602 x6
Cu  0.0000  0.0000  0.0000 x3
Se  0.0000  0.0000  0.2190 x6


The energy of each structure relative to the most stable one, in kJ/mol of atoms, is as follows: (A) 51.0; (B) 0.0.


(A)
An optimized crystal structure of Mg4CuSe2. Source: the Alexandria database, functional GGA-PBE.

## Properties
Its theoretical density is 3.18 g/cm³. As for the total magnetization: 0.00 μB/f.u. The volume is 499.76 Å³/cell.

a b c (Å): 4.4061 4.4061 29.7254
angles (deg): 90.00 90.00 120.00
Space group R-3m (No. 166, hexagonal axes)
One atom of each set of equivalent atoms:
Mg  0.0000  0.0000  0.1003 x6
Mg  0.0000  0.0000  0.3038 x6
Cu  0.0000  0.0000  0.0000 x3
Se  0.0000  0.0000  0.2142 x6


(B)
An optimized crystal structure of Mg4CuSe2. Source: the Alexandria database, functional GGA-PBE.

## Properties
Its theoretical density is 3.39 g/cm³. As for the total magnetization: 0.00 μB/f.u. The volume is 311.92 Å³/cell.

a b c (Å): 6.4962 6.4962 7.3915
angles (deg): 90.00 90.00 90.00
Space group I4/mmm (No. 139)
One atom of each set of equivalent atoms:
Mg  0.2242  0.2242  0.0000 x8
Cu  0.0000  0.0000  0.5000 x2
Se  0.0000  0.5000  0.2500 x4


The energy of each structure relative to the most stable one, in kJ/mol of atoms, is as follows: (A) 0.0; (B) 29.7.


(A)
An optimized crystal structure of MgCuSe. Source: the Alexandria database, functional GGA-PBE.

## Properties
Its theoretical density is 5.03 g/cm³. As for the total magnetization: 0.00 μB/f.u. The volume is 440.20 Å³/cell.

a b c (Å): 5.3513 5.5806 14.7405
angles (deg): 90.00 90.00 90.00
Space group Fmmm (No. 69)
One atom of each set of equivalent atoms:
Mg  0.0000  0.0000  0.1599 x8
Cu  0.2364  0.0000  0.0000 x8
Se  0.0000  0.0000  0.3478 x8


(B)
An optimized crystal structure of MgCuSe. Source: the Alexandria database, functional GGA-PBE.

## Properties
Its theoretical density is 5.17 g/cm³. As for the total magnetization: 0.00 μB/f.u. The volume is 214.34 Å³/cell.

a b c (Å): 3.7402 9.0527 6.3306
angles (deg): 90.00 90.00 90.00
Space group Cmc2_1 (No. 36)
One atom of each set of equivalent atoms:
Mg  0.0000  0.0495  0.0000 x4
Cu  0.0000  0.3570  0.1932 x4
Se  0.0000  0.3373  0.7954 x4


(C)
An optimized crystal structure of MgCuSe. Source: the Alexandria database, functional GGA-PBE.

## Properties
Its theoretical density is 5.22 g/cm³. As for the total magnetization: 0.00 μB/f.u. The volume is 212.40 Å³/cell.

a b c (Å): 7.9241 5.3320 5.3376
angles (deg): 90.00 109.64 90.00
Space group P2_1/c (No. 14)
One atom of each set of equivalent atoms:
Mg  0.2157  0.9995  0.3571 x4
Cu  0.4993  0.1776  0.8252 x4
Se  0.1815  0.0002  0.8399 x4


(D)
An optimized crystal structure of MgCuSe. Source: the Alexandria database, functional GGA-PBE.

## Properties
Its theoretical density is 4.84 g/cm³. As for the total magnetization: 0.00 μB/f.u. The volume is 57.21 Å³/cell.

a b c (Å): 3.7404 3.8096 4.0151
angles (deg): 90.00 90.00 90.00
Space group Pmmm (No. 47)
One atom of each set of equivalent atoms:
Mg  0.0000  0.0000  0.0000 x1
Cu  0.0000  0.5000  0.5000 x1
Se  0.5000  0.0000  0.5000 x1


The energy of each structure relative to the most stable one, in kJ/mol of atoms, is as follows: (A) 0.0; (B) 18.6; (C) 0.9; (D) 22.1.


(A)
An optimized crystal structure of MgCuSe. Source: the Alexandria database, functional GGA-PBE.

## Properties
Its theoretical density is 4.52 g/cm³. As for the total magnetization: 0.00 μB/f.u. The volume is 245.05 Å³/cell.

a b c (Å): 3.9665 10.9270 5.6538
angles (deg): 90.00 90.00 90.00
Space group Pmmn (No. 59, origin choice 2)
One atom of each set of equivalent atoms:
Mg  0.2500  0.1016  0.2052 x4
Cu  0.2500  0.6413  0.5014 x4
Se  0.2500  0.0754  0.7442 x4


(B)
An optimized crystal structure of MgCuSe. Source: the Alexandria database, functional GGA-PBE.

## Properties
Its theoretical density is 5.00 g/cm³. As for the total magnetization: 0.00 μB/f.u. The volume is 110.80 Å³/cell.

a b c (Å): 4.3694 4.3694 6.7016
angles (deg): 90.00 90.00 120.00
Space group P6_3/mmc (No. 194)
One atom of each set of equivalent atoms:
Mg  0.0000  0.0000  0.0000 x2
Cu  0.3333  0.6667  0.2500 x2
Se  0.3333  0.6667  0.7500 x2


The energy of each structure relative to the most stable one, in kJ/mol of atoms, is as follows: (A) 0.0; (B) 12.3.


(A)
An optimized crystal structure of MgCuSe. Source: the Alexandria database, functional GGA-PBE.

## Properties
Its theoretical density is 4.15 g/cm³. As for the total magnetization: 0.00 μB/f.u. The volume is 266.73 Å³/cell.

a b c (Å): 4.7643 12.9342 4.3284
angles (deg): 90.00 90.00 90.00
Space group Pmmn (No. 59, origin choice 2)
One atom of each set of equivalent atoms:
Mg  0.2500  0.1227  0.0251 x4
Cu  0.2500  0.6577  0.7251 x4
Se  0.2500  0.5764  0.2371 x4


(B)
An optimized crystal structure of MgCuSe. Source: the Alexandria database, functional GGA-PBE.

## Properties
Its theoretical density is 4.30 g/cm³. As for the total magnetization: 0.00 μB/f.u. The volume is 386.91 Å³/cell.

a b c (Å): 4.2761 12.3888 7.3034
angles (deg): 90.00 90.00 90.00
Space group Amm2 (No. 38)
One atom of each set of equivalent atoms:
Mg  0.0000  0.0000  0.0000 x2
Mg  0.0000  0.1281  0.4328 x4
Cu  0.5000  0.0000  0.1932 x2
Cu  0.5000  0.1035  0.8856 x4
Se  0.0000  0.1858  0.7862 x4
Se  0.5000  0.0000  0.5190 x2


(C)
An optimized crystal structure of MgCuSe. Source: the Alexandria database, functional GGA-PBE.

## Properties
Its theoretical density is 4.90 g/cm³. As for the total magnetization: 0.00 μB/f.u. The volume is 226.22 Å³/cell.

a b c (Å): 3.5946 9.3677 6.7181
angles (deg): 90.00 90.00 90.00
Space group Pmc2_1 (No. 26)
One atom of each set of equivalent atoms:
Mg  0.0000  0.0927  0.0000 x2
Mg  0.0000  0.3831  0.6989 x2
Cu  0.5000  0.1177  0.3081 x2
Cu  0.5000  0.3170  0.0812 x2
Se  0.5000  0.1317  0.6715 x2
Se  0.5000  0.4533  0.4083 x2


The energy of each structure relative to the most stable one, in kJ/mol of atoms, is as follows: (A) 20.2; (B) 0.0; (C) 7.6.